(1)
The following is a DFT calculation (SCAN) of AlIrW2 at its PBEsol-relaxed geometry.

Summary:
The value obtained for the calculated total energy is -54.803 eV/atom. As for the theoretical density: 16.4 g/cm3. As for the symmetry: Pm (6).

a = 2.754 Å, b = 4.352 Å, c = 4.986 Å
α = 90.00°, β = 96.01°, γ = 90.00°
Fractional positions:
1 W 0.786 0.500 0.267
2 W 0.967 0.000 0.993
3 Al 0.389 0.000 0.490
4 Ir 0.358 0.500 0.750



(2)
The following is a DFT calculation (SCAN) of LiCo2O4 at its PBEsol-relaxed geometry.

Summary:
Its uncorrected formation energy is -11.31 eV/f.u. As for the theoretical density: 5.0 g/cm3. Its distance to the lowest polymorph of the same formula is 0 meV/atom. As for the symmetry: Fd-3m (227).

a = 7.927 Å, b = 7.927 Å, c = 7.927 Å
α = 90.00°, β = 90.00°, γ = 90.00°
Each line ends with the local moment (μB).
Fractional positions:
1 Co 0.625 0.375 0.625  0.34
2 Co 0.625 0.875 0.125  0.34
3 Co 0.875 0.375 0.875  0.34
4 Co 0.125 0.875 0.625  0.34
5 Co 0.875 0.125 0.125  0.34
6 Co 0.375 0.875 0.875  0.34
7 Co 0.125 0.625 0.375  0.34
8 Co 0.125 0.125 0.875  0.34
9 Co 0.625 0.125 0.375  0.34
10 Co 0.375 0.625 0.125  0.34
11 Co 0.875 0.875 0.375  0.34
12 Co 0.125 0.375 0.125  0.34
13 Co 0.875 0.625 0.625  0.34
14 Co 0.375 0.375 0.375  0.34
15 Co 0.625 0.625 0.875  0.34
16 Co 0.375 0.125 0.625  0.34
17 Li 0.250 0.500 0.750  0.00
18 Li 0.750 0.500 0.250  0.00
19 Li 0.000 0.750 0.000  0.00
20 Li 0.500 0.250 0.000  0.00
21 Li 0.250 0.000 0.250  0.00
22 Li 0.500 0.750 0.500  0.00
23 Li 0.750 0.000 0.750  0.00
24 Li 0.000 0.250 0.500  0.00
25 O 0.861 0.389 0.639  0.07
26 O 0.139 0.611 0.139  0.07
27 O 0.639 0.389 0.861  0.07
28 O 0.611 0.361 0.389  0.07
29 O 0.861 0.889 0.139  0.07
30 O 0.361 0.611 0.361  0.07
31 O 0.889 0.361 0.111  0.07
32 O 0.389 0.139 0.389  0.07
33 O 0.639 0.111 0.139  0.07
34 O 0.889 0.639 0.389  0.07
35 O 0.889 0.861 0.611  0.07
36 O 0.361 0.889 0.639  0.07
37 O 0.611 0.861 0.889  0.07
38 O 0.111 0.361 0.889  0.07
39 O 0.139 0.111 0.639  0.07
40 O 0.389 0.861 0.111  0.07
41 O 0.361 0.111 0.861  0.07
42 O 0.111 0.861 0.389  0.07
43 O 0.361 0.389 0.139  0.07
44 O 0.861 0.111 0.361  0.07
45 O 0.139 0.389 0.361  0.07
46 O 0.139 0.889 0.861  0.07
47 O 0.611 0.139 0.611  0.07
48 O 0.389 0.361 0.611  0.07
49 O 0.889 0.139 0.889  0.07
50 O 0.111 0.139 0.111  0.07
51 O 0.639 0.889 0.361  0.07
52 O 0.861 0.611 0.861  0.07
53 O 0.111 0.639 0.611  0.07
54 O 0.389 0.639 0.889  0.07
55 O 0.611 0.639 0.111  0.07
56 O 0.639 0.611 0.639  0.07



(3)
The following is a DFT calculation (SCAN) of TaTeBr3 at its PBEsol-relaxed geometry.

Summary:
Its uncorrected formation energy is 5.70 eV/f.u. As for the theoretical density: 5.3 g/cm3. As for the symmetry: Pm-3m (221).

a = 5.553 Å, b = 5.553 Å, c = 5.553 Å
α = 90.00°, β = 90.00°, γ = 90.00°
Each line ends with the local moment (μB).
Fractional positions:
1 Br 0.500 0.000 0.000  0.04
2 Br 0.000 0.000 0.500  0.04
3 Br 0.000 0.500 0.000  0.04
4 Te 0.000 0.000 0.000  0.03
5 Ta 0.500 0.500 0.500  2.53



(4)
The following is a DFT calculation (SCAN) of K2AlRe at its PBEsol-relaxed geometry.

Summary:
The value obtained for the calculated total energy is -22.635 eV/atom. As for the theoretical density: 5.7 g/cm3. As for the symmetry: I-42d (122).

a = 3.796 Å, b = 3.796 Å, c = 12.142 Å
α = 98.99°, β = 98.99°, γ = 90.00°
Each line ends with the local moment (μB).
Fractional positions:
1 Re 0.000 0.000 0.000  -0.28
2 Re 0.250 0.750 0.500  -0.28
3 K 0.625 0.625 0.750  0.01
4 K 0.375 0.875 0.250  0.01
5 K 0.875 0.375 0.250  0.01
6 K 0.125 0.125 0.750  0.01
7 Al 0.500 0.500 0.000  0.01
8 Al 0.750 0.250 0.500  0.01



(5)
The following is a DFT calculation (SCAN) of BaAl2Au at its PBEsol-relaxed geometry.

Summary:
The value obtained for the calculated total energy is -31.679 eV/atom. As for the theoretical density: 6.4 g/cm3. As for the symmetry: R-3m (166).

a = 4.371 Å, b = 4.371 Å, c = 6.593 Å
α = 70.64°, β = 70.64°, γ = 60.00°
Fractional positions:
1 Ba 0.000 0.000 0.000
2 Al 0.799 0.799 0.603
3 Al 0.201 0.201 0.397
4 Au 0.500 0.500 0.500



(6)
The following is a DFT calculation (SCAN) of CaY2Rh2 at its PBEsol-relaxed geometry.

Summary:
As for the theoretical density: 5.5 g/cm3. Its distance to the lowest polymorph of the same formula is 376 meV/atom. As for the symmetry: I4/mmm (139).

a = 4.919 Å, b = 4.919 Å, c = 6.333 Å
α = 112.85°, β = 112.85°, γ = 90.00°
Fractional positions:
1 Rh 0.750 0.250 0.500
2 Rh 0.250 0.750 0.500
3 Y 0.339 0.339 0.678
4 Y 0.661 0.661 0.322
5 Ca 0.000 0.000 0.000